[1]
The following is a DFT calculation (GGA-PBE) of a relaxed Hf6TlRu crystal.

```
data_Hf6TlRu
_cell_length_a 6.010
_cell_length_b 6.010
_cell_length_c 6.011
_cell_angle_alpha 106.66
_cell_angle_beta 106.66
_cell_angle_gamma 106.65
_symmetry_space_group_name_H-M 'P 1'
_symmetry_Int_Tables_number 1
loop_
_symmetry_equiv_pos_as_xyz
'x,y,z'
loop_
_atom_site_label
_atom_site_type_symbol
_atom_site_fract_x
_atom_site_fract_y
_atom_site_fract_z
Hf1 Hf 0.228 0.228 0.670
Hf2 Hf 0.670 0.228 0.228
Hf3 Hf 0.772 0.772 0.330
Hf4 Hf 0.772 0.330 0.772
Hf5 Hf 0.330 0.772 0.772
Hf6 Hf 0.228 0.670 0.228
Tl1 Tl 0.000 0.000 0.000
Ru1 Ru 0.500 0.500 0.500
```

Output
- SG: R-3m
- Volume: 22.809 Å³ per atom
- M_tot: 0.00 μB per cell
- Energy of formation from the pure elements: 181 meV per atom

***

[2]
The following is a DFT calculation (GGA-PBE) of a relaxed PuGe2Sb crystal.

```
data_PuGe2Sb
_cell_length_a 4.344
_cell_length_b 4.457
_cell_length_c 4.457
_cell_angle_alpha 90.00
_cell_angle_beta 90.00
_cell_angle_gamma 90.00
_symmetry_space_group_name_H-M 'P 1'
_symmetry_Int_Tables_number 1
loop_
_symmetry_equiv_pos_as_xyz
'x,y,z'
loop_
_atom_site_label
_atom_site_type_symbol
_atom_site_fract_x
_atom_site_fract_y
_atom_site_fract_z
Sb1 Sb 0.500 0.000 0.000
Ge1 Ge 0.000 0.000 0.500
Ge2 Ge 0.000 0.500 0.000
Pu1 Pu 0.500 0.500 0.500
```

Output
- SG: P4/mmm
- Uncorrected formation energy: -0.33 eV per atom
- Volume: 21.575 Å³ per atom
- M_tot: 5.02 μB per cell

***

[3]
The following is a DFT calculation (GGA-PBE) of a relaxed Tb2SiH crystal.

```
data_Tb2SiH
_cell_length_a 4.324
_cell_length_b 4.324
_cell_length_c 7.495
_cell_angle_alpha 73.24
_cell_angle_beta 73.24
_cell_angle_gamma 60.00
_symmetry_space_group_name_H-M 'P 1'
_symmetry_Int_Tables_number 1
loop_
_symmetry_equiv_pos_as_xyz
'x,y,z'
loop_
_atom_site_label
_atom_site_type_symbol
_atom_site_fract_x
_atom_site_fract_y
_atom_site_fract_z
H1 H 0.000 0.000 0.000
Si1 Si 0.500 0.500 0.500
Tb1 Tb 0.101 0.101 0.696
Tb2 Tb 0.899 0.899 0.304
```

Output
- SG: R-3m
- Final energy: -4.80 eV per atom
- Volume: 28.608 Å³ per atom
- M_tot: 0.01 μB per cell

***

[4]
The following is a DFT calculation (GGA-PBE) of a relaxed Cs2AsO4 crystal.

```
data_Cs2AsO4
_cell_length_a 10.628
_cell_length_b 9.285
_cell_length_c 9.285
_cell_angle_alpha 89.67
_cell_angle_beta 90.00
_cell_angle_gamma 90.00
_symmetry_space_group_name_H-M 'P 1'
_symmetry_Int_Tables_number 1
loop_
_symmetry_equiv_pos_as_xyz
'x,y,z'
loop_
_atom_site_label
_atom_site_type_symbol
_atom_site_fract_x
_atom_site_fract_y
_atom_site_fract_z
Cs1 Cs 0.500 0.254 0.254
Cs2 Cs 0.000 0.241 0.759
Cs3 Cs 0.000 0.759 0.241
Cs4 Cs 0.500 0.746 0.746
Cs5 Cs 0.500 0.741 0.259
Cs6 Cs 0.000 0.754 0.754
Cs7 Cs 0.500 0.259 0.741
Cs8 Cs 0.000 0.246 0.246
As1 As 0.250 0.000 0.500
As2 As 0.750 0.000 0.500
As3 As 0.750 0.500 0.000
As4 As 0.250 0.500 0.000
O1 O 0.340 0.155 0.499
O2 O 0.660 0.155 0.499
O3 O 0.160 0.001 0.345
O4 O 0.840 0.999 0.655
O5 O 0.840 0.001 0.345
O6 O 0.160 0.999 0.655
O7 O 0.660 0.845 0.501
O8 O 0.340 0.845 0.501
O9 O 0.160 0.655 0.999
O10 O 0.840 0.655 0.999
O11 O 0.340 0.501 0.845
O12 O 0.660 0.499 0.155
O13 O 0.660 0.501 0.845
O14 O 0.340 0.499 0.155
O15 O 0.840 0.345 0.001
O16 O 0.160 0.345 0.001
```

Output
- SG: Fmmm
- Uncorrected formation energy: -1.33 eV per atom
- Volume: 32.724 Å³ per atom
- M_tot: 4.06 μB per cell